# 1
DFT (PBE) results for BaZnW2 after structural relaxation. Values from VASP.

Results
symmetry = Cmm2 (35)
E_tot = -26.00 eV/cell
size of the total moment = 0.0 μB/cell
calculated formation energy = 0.775 eV/atom

```
&SYSTEM
  ibrav = 0, nat = 4, ntyp = 3
/
ATOMIC_SPECIES
Zn 65.41 Zn.upf
W 183.84 W.upf
Ba 137.33 Ba.upf
CELL_PARAMETERS angstrom
2.9848 0.0122 0.0000
-1.0602 2.7902 0.0000
0.0000 0.0000 9.9819
ATOMIC_POSITIONS angstrom
Zn 0.0000 0.0000 4.5593
W 0.9623 1.4012 2.4358
Ba 0.9623 1.4012 7.4893
W 0.0000 0.0000 0.4885
```


# 2
DFT (PBE) results for BaZn2W after structural relaxation. Values from VASP.

Results
symmetry = C2/m (12)
E_tot = -14.87 eV/cell
size of the total moment = 0.1 μB/cell
E above lowest polymorph = 0.164 eV/atom
calculated formation energy = 0.638 eV/atom

```
&SYSTEM
  ibrav = 0, nat = 4, ntyp = 3
/
ATOMIC_SPECIES
Zn 65.41 Zn.upf
W 183.84 W.upf
Ba 137.33 Ba.upf
CELL_PARAMETERS angstrom
-2.5401 -3.9188 1.2821
-0.0777 -3.7329 3.0842
-3.6922 2.7865 4.7577
ATOMIC_POSITIONS angstrom
Zn -2.9354 -7.2845 4.7624
Zn -2.8373 -2.7996 4.1657
W -1.5775 -1.2163 2.2810
Ba -4.7325 -3.6488 6.8429
```